[1]
Compound: CsSnN2
Source: the Alexandria database
Functional: SCAN
Structure: single point on PBEsol structure

Values from the calculation:
- raw total energy (Ry/atom) = -1.6662
- formation energy without anion corrections (eV per atom) = 0.41
- DOS at the Fermi energy (states/eV per cell) = 6.016
- symmetry = No. 122
- total magnetic moment (μB/atom) = 0.25

Lattice parameters (Å, degrees): 6.148 6.148 6.148 117.99 117.99 93.52
Atoms (fractional coordinates):
1 Cs 0.000 0.000 0.000
2 Cs 0.750 0.250 0.500
3 Sn 0.250 0.750 0.500
4 Sn 0.500 0.500 0.000
5 N 0.252 0.125 0.627
6 N 0.375 0.748 0.873
7 N 0.498 0.625 0.373
8 N 0.875 0.502 0.127



[2]
Compound: CsSnN3
Source: the Alexandria database
Functional: SCAN
Structure: single point on PBEsol structure

Values from the calculation:
- raw total energy (Ry/atom) = -1.4023
- formation energy without anion corrections (eV per atom) = 1.24
- DOS at the Fermi energy (states/eV per cell) = 5.288
- symmetry = No. 221
- total magnetic moment (μB/atom) = 0.80

Lattice parameters (Å, degrees): 4.378 4.378 4.378 90.00 90.00 90.00
Atoms (fractional coordinates):
1 Cs 0.000 0.000 0.000
2 Sn 0.500 0.500 0.500
3 N 0.000 0.500 0.500
4 N 0.500 0.000 0.500
5 N 0.500 0.500 0.000



[3]
Compound: CsSnN
Source: the Alexandria database
Functional: SCAN
Structure: single point on PBEsol structure

Values from the calculation:
- raw total energy (Ry/atom) = -2.0295
- formation energy without anion corrections (eV per atom) = 0.06
- symmetry = No. 186
- total magnetic moment (μB/atom) = 0.00

Lattice parameters (Å, degrees): 3.512 3.512 13.102 90.00 90.00 120.00
Atoms (fractional coordinates):
1 Cs 0.333 0.667 0.000
2 Cs 0.667 0.333 0.500
3 Sn 0.000 0.000 0.243
4 Sn 0.000 0.000 0.743
5 N 0.333 0.667 0.665
6 N 0.667 0.333 0.165



[4]
Compound: CsSrTe2N
Source: the Alexandria database
Functional: SCAN
Structure: single point on PBEsol structure

Values from the calculation:
- raw total energy (Ry/atom) = -2.0655
- formation energy without anion corrections (eV per atom) = 0.67
- DOS at the Fermi energy (states/eV per cell) = 3.144
- symmetry = No. 123
- total magnetic moment (μB/atom) = 0.33

Lattice parameters (Å, degrees): 6.193 6.193 4.574 90.00 90.00 90.00
Atoms (fractional coordinates):
1 Cs 0.000 0.000 0.000
2 Sr 0.500 0.500 0.500
3 Te 0.000 0.500 0.000
4 Te 0.500 0.000 0.000
5 N 0.000 0.000 0.500



[5]
Compound: Cs2TaN
Source: the Alexandria database
Functional: SCAN
Structure: single point on PBEsol structure

Values from the calculation:
- raw total energy (Ry/atom) = -2.7564
- formation energy without anion corrections (eV per atom) = 0.37
- DOS at the Fermi energy (states/eV per cell) = 2.775
- symmetry = No. 122
- total magnetic moment (μB/atom) = 0.51

Lattice parameters (Å, degrees): 9.271 9.271 9.271 92.66 92.66 155.13
Atoms (fractional coordinates):
1 Cs 0.375 0.052 0.177
2 Cs 0.802 0.625 0.677
3 Cs 0.875 0.198 0.823
4 Cs 0.948 0.125 0.323
5 Ta 0.250 0.750 0.500
6 Ta 0.500 0.500 0.000
7 N 0.000 0.000 0.000
8 N 0.750 0.250 0.500



[6]
Compound: CsTaTe2N
Source: the Alexandria database
Functional: SCAN
Structure: single point on PBEsol structure

Values from the calculation:
- raw total energy (Ry/atom) = -2.7855
- formation energy without anion corrections (eV per atom) = -0.26
- DOS at the Fermi energy (states/eV per cell) = 3.740
- symmetry = No. 123
- total magnetic moment (μB/atom) = 0.00

Lattice parameters (Å, degrees): 5.793 5.793 3.940 90.00 90.00 90.00
Atoms (fractional coordinates):
1 Cs 0.000 0.000 0.000
2 Ta 0.500 0.500 0.500
3 Te 0.000 0.500 0.500
4 Te 0.500 0.000 0.500
5 N 0.500 0.500 0.000



[7]
Compound: CsTcTe2N
Source: the Alexandria database
Functional: SCAN
Structure: single point on PBEsol structure

Values from the calculation:
- raw total energy (Ry/atom) = -2.2997
- formation energy without anion corrections (eV per atom) = 0.04
- DOS at the Fermi energy (states/eV per cell) = 2.959
- symmetry = No. 123
- total magnetic moment (μB/atom) = 0.22

Lattice parameters (Å, degrees): 5.759 5.759 3.729 90.00 90.00 90.00
Atoms (fractional coordinates):
1 Cs 0.000 0.000 0.000
2 Tc 0.500 0.500 0.500
3 Te 0.000 0.500 0.500
4 Te 0.500 0.000 0.500
5 N 0.500 0.500 0.000



[8]
Compound: CsTe2N2
Source: the Alexandria database
Functional: SCAN
Structure: single point on PBEsol structure

Values from the calculation:
- raw total energy (Ry/atom) = -1.8447
- formation energy without anion corrections (eV per atom) = 1.08
- DOS at the Fermi energy (states/eV per cell) = 3.313
- symmetry = No. 123
- total magnetic moment (μB/atom) = 0.73

Lattice parameters (Å, degrees): 4.539 4.539 6.313 90.00 90.00 90.00
Atoms (fractional coordinates):
1 Cs 0.000 0.000 0.000
2 Te 0.000 0.500 0.500
3 Te 0.500 0.000 0.500
4 N 0.500 0.500 0.000
5 N 0.500 0.500 0.500



[9]
Compound: CsTlTeN2
Source: the Alexandria database
Functional: SCAN
Structure: single point on PBEsol structure

Values from the calculation:
- raw total energy (Ry/atom) = -2.2995
- formation energy without anion corrections (eV per atom) = 1.91
- DOS at the Fermi energy (states/eV per cell) = 3.132
- symmetry = No. 123
- total magnetic moment (μB/atom) = 0.93

Lattice parameters (Å, degrees): 4.829 4.829 7.417 90.00 90.00 90.00
Atoms (fractional coordinates):
1 Cs 0.000 0.000 0.000
2 Tl 0.500 0.500 0.500
3 Te 0.000 0.000 0.500
4 N 0.000 0.500 0.000
5 N 0.500 0.000 0.000



[10]
Compound: CsTl3N
Source: the Alexandria database
Functional: SCAN
Structure: single point on PBEsol structure

Values from the calculation:
- raw total energy (Ry/atom) = -3.7587
- formation energy without anion corrections (eV per atom) = 1.70
- DOS at the Fermi energy (states/eV per cell) = 5.546
- symmetry = No. 221
- total magnetic moment (μB/atom) = 0.01
- offset from the most stable computed form (meV/atom) = 1105

Lattice parameters (Å, degrees): 6.656 6.656 6.656 90.00 90.00 90.00
Atoms (fractional coordinates):
1 Cs 0.000 0.000 0.000
2 Tl 0.000 0.000 0.500
3 Tl 0.000 0.500 0.000
4 Tl 0.500 0.000 0.000
5 N 0.500 0.500 0.500



[11]
Compound: CsTl3N
Source: the Alexandria database
Functional: SCAN
Structure: single point on PBEsol structure

Values from the calculation:
- raw total energy (Ry/atom) = -3.8399
- formation energy without anion corrections (eV per atom) = 0.59
- DOS at the Fermi energy (states/eV per cell) = 3.063
- symmetry = No. 221
- total magnetic moment (μB/atom) = 0.25
- offset from the most stable computed form (meV/atom) = 0

Lattice parameters (Å, degrees): 5.320 5.320 5.320 90.00 90.00 90.00
Atoms (fractional coordinates):
1 Cs 0.000 0.000 0.000
2 Tl 0.000 0.500 0.500
3 Tl 0.500 0.000 0.500
4 Tl 0.500 0.500 0.000
5 N 0.500 0.500 0.500



[12]
Compound: CsWN2
Source: the Alexandria database
Functional: SCAN
Structure: single point on PBEsol structure

Values from the calculation:
- raw total energy (Ry/atom) = -2.1375
- formation energy without anion corrections (eV per atom) = 2.44
- DOS at the Fermi energy (states/eV per cell) = 1.695
- symmetry = No. 225
- total magnetic moment (μB/atom) = 0.00
- offset from the most stable computed form (meV/atom) = 3031

Lattice parameters (Å, degrees): 4.167 4.167 4.167 60.00 60.00 60.00
Atoms (fractional coordinates):
1 Cs 0.000 0.000 0.000
2 W 0.500 0.500 0.500
3 N 0.250 0.250 0.250
4 N 0.750 0.750 0.750



[13]
Compound: CsWN2
Source: the Alexandria database
Functional: SCAN
Structure: single point on PBEsol structure

Values from the calculation:
- raw total energy (Ry/atom) = -2.3603
- formation energy without anion corrections (eV per atom) = -0.59
- DOS at the Fermi energy (states/eV per cell) = 2.774
- symmetry = No. 227
- total magnetic moment (μB/atom) = 0.00
- offset from the most stable computed form (meV/atom) = 0

Lattice parameters (Å, degrees): 6.161 6.161 6.161 60.00 60.00 60.00
Atoms (fractional coordinates):
1 Cs 0.125 0.125 0.125
2 Cs 0.875 0.875 0.875
3 W 0.375 0.375 0.375
4 W 0.625 0.625 0.625
5 N 0.000 0.500 0.500
6 N 0.500 0.000 0.500
7 N 0.500 0.500 0.000
8 N 0.500 0.500 0.500



[14]
Compound: Cs2YN
Source: the Alexandria database
Functional: SCAN
Structure: single point on PBEsol structure

Values from the calculation:
- raw total energy (Ry/atom) = -1.9517
- formation energy without anion corrections (eV per atom) = 1.63
- DOS at the Fermi energy (states/eV per cell) = 3.403
- symmetry = No. 225
- total magnetic moment (μB/atom) = 0.43

Lattice parameters (Å, degrees): 5.232 5.232 5.232 60.00 60.00 60.00
Atoms (fractional coordinates):
1 Cs 0.250 0.250 0.250
2 Cs 0.750 0.750 0.750
3 Y 0.000 0.000 0.000
4 N 0.500 0.500 0.500



[15]
Compound: CsYN3
Source: the Alexandria database
Functional: SCAN
Structure: single point on PBEsol structure

Values from the calculation:
- raw total energy (Ry/atom) = -1.2473
- formation energy without anion corrections (eV per atom) = 1.74
- DOS at the Fermi energy (states/eV per cell) = 2.931
- symmetry = No. 221
- total magnetic moment (μB/atom) = 0.07

Lattice parameters (Å, degrees): 4.281 4.281 4.281 90.00 90.00 90.00
Atoms (fractional coordinates):
1 Cs 0.000 0.000 0.000
2 Y 0.500 0.500 0.500
3 N 0.000 0.000 0.500
4 N 0.000 0.500 0.000
5 N 0.500 0.000 0.000



[16]
Compound: CsZr3N
Source: the Alexandria database
Functional: SCAN
Structure: single point on PBEsol structure

Values from the calculation:
- raw total energy (Ry/atom) = -1.8179
- formation energy without anion corrections (eV per atom) = 3.11
- DOS at the Fermi energy (states/eV per cell) = 3.133
- symmetry = No. 221
- total magnetic moment (μB/atom) = 0.47

Lattice parameters (Å, degrees): 5.145 5.145 5.145 90.00 90.00 90.00
Atoms (fractional coordinates):
1 Cs 0.000 0.000 0.000
2 Zr 0.000 0.000 0.500
3 Zr 0.000 0.500 0.000
4 Zr 0.500 0.000 0.000
5 N 0.500 0.500 0.500



[17]
Compound: CsNaNbRh2
Source: the Alexandria database
Functional: SCAN
Structure: single point on PBEsol structure

Values from the calculation:
- raw total energy (Ry/atom) = -1.9576
- DOS at the Fermi energy (states/eV per cell) = 5.099
- symmetry = No. 123
- total magnetic moment (μB/atom) = 0.54

Lattice parameters (Å, degrees): 4.813 4.813 4.995 90.00 90.00 90.00
Atoms (fractional coordinates):
1 Cs 0.000 0.000 0.000
2 Na 0.500 0.500 0.500
3 Nb 0.500 0.500 0.000
4 Rh 0.000 0.500 0.500
5 Rh 0.500 0.000 0.500



[18]
Compound: Cs3NaNi
Source: the Alexandria database
Functional: SCAN
Structure: single point on PBEsol structure

Values from the calculation:
- raw total energy (Ry/atom) = -1.9031
- DOS at the Fermi energy (states/eV per cell) = 13.488
- symmetry = No. 221
- total magnetic moment (μB/atom) = 0.14

Lattice parameters (Å, degrees): 7.231 7.231 7.231 90.00 90.00 90.00
Atoms (fractional coordinates):
1 Cs 0.000 0.000 0.500
2 Cs 0.000 0.500 0.000
3 Cs 0.500 0.000 0.000
4 Na 0.000 0.000 0.000
5 Ni 0.500 0.500 0.500



[19]
Compound: Cs2NaO
Source: the Alexandria database
Functional: SCAN
Structure: single point on PBEsol structure

Values from the calculation:
- raw total energy (Ry/atom) = -1.5973
- formation energy without anion corrections (eV per atom) = -0.22
- DOS at the Fermi energy (states/eV per cell) = 1.181
- symmetry = No. 225
- total magnetic moment (μB/atom) = 0.24

Lattice parameters (Å, degrees): 5.542 5.542 5.542 60.00 60.00 60.00
Atoms (fractional coordinates):
1 Cs 0.250 0.250 0.250
2 Cs 0.750 0.750 0.750
3 Na 0.000 0.000 0.000
4 O 0.500 0.500 0.500



[20]
Compound: CsNa3PbO4
Source: the Alexandria database
Functional: SCAN
Structure: single point on PBEsol structure

Values from the calculation:
- raw total energy (Ry/atom) = -1.3387
- formation energy without anion corrections (eV per atom) = -1.42
- DOS at the Fermi energy (states/eV per cell) = 0.000
- symmetry = No. 2
- total magnetic moment (μB/atom) = 0.02

Lattice parameters (Å, degrees): 6.761 8.693 11.588 82.81 76.47 79.50
Atoms (fractional coordinates):
1 Cs 0.005 0.383 0.379
2 Cs 0.036 0.140 0.126
3 Cs 0.964 0.860 0.874
4 Cs 0.995 0.617 0.621
5 Na 0.181 0.949 0.393
6 Na 0.188 0.445 0.897
7 Na 0.195 0.181 0.646
8 Na 0.430 0.044 0.877
9 Na 0.458 0.569 0.375
10 Na 0.473 0.323 0.116
11 Na 0.527 0.677 0.884
12 Na 0.542 0.431 0.625
13 Na 0.570 0.956 0.123
14 Na 0.805 0.819 0.354
15 Na 0.812 0.555 0.103
16 Na 0.819 0.051 0.607
17 Pb 0.173 0.706 0.148
18 Pb 0.443 0.796 0.632
19 Pb 0.557 0.204 0.368
20 Pb 0.827 0.294 0.852
21 O 0.135 0.199 0.853
22 O 0.166 0.710 0.329
23 O 0.180 0.938 0.593
24 O 0.182 0.486 0.091
25 O 0.340 0.613 0.756
26 O 0.371 0.842 0.032
27 O 0.377 0.335 0.505
28 O 0.386 0.113 0.273
29 O 0.614 0.887 0.727
30 O 0.623 0.665 0.495
31 O 0.629 0.158 0.968
32 O 0.660 0.387 0.244
33 O 0.818 0.514 0.909
34 O 0.820 0.062 0.407
35 O 0.834 0.290 0.671
36 O 0.865 0.801 0.147